First-principles (PBE-GGA) data for a geometry-optimized Ca2SiHg2 structure, as listed in Alexandria.

a b c (Å): 6.0474 6.0474 8.0331
angles (deg): 90.00 90.00 90.00
Space group I4/mmm (No. 139)
Asymmetric unit:
Ca: 0.0000 0.5000 0.2500 x4
Si: 0.0000 0.0000 0.0000 x2
Hg: 0.0000 0.0000 0.3286 x4

Calculated values
V   29.38 Å³/atom
VASP energy   -2.06 eV/atom
E_form (uncorrected)   -0.054 eV per atom
Energy relative to the lowest polymorph listed for this composition   0.198 eV per atom
Total magnetic moment   0.0 μB per formula unit